Record 1
A plane-wave DFT calculation with PBEsol was carried out for crystalline Mg30CrCoO32 at its relaxed geometry.

Cell and atoms, written as extended XYZ:
```
64
Lattice="8.446 0.000 0.000 0.000 8.431 0.000 0.000 0.000 8.431" Properties=species:S:1:pos:R:3 pbc="T T T"
O 0.000 6.236 0.000
O 0.000 6.251 4.215
O 2.105 2.111 2.111
O 0.000 0.000 2.194
O 4.223 0.000 6.311
O 4.223 6.314 4.215
O 2.101 4.215 4.215
O 2.106 0.000 4.215
O 0.000 2.180 4.215
O 6.340 4.215 0.000
O 4.223 4.215 6.314
O 6.340 0.000 4.215
O 6.341 6.319 2.111
O 0.000 4.215 2.180
O 4.223 6.311 0.000
O 2.105 2.111 6.319
O 4.223 2.117 4.215
O 2.106 4.215 0.000
O 4.223 4.215 2.117
O 6.341 2.111 2.111
O 6.341 6.319 6.319
O 0.000 2.194 0.000
O 6.346 4.215 4.215
O 6.271 0.000 0.000
O 2.105 6.319 6.319
O 4.223 2.120 0.000
O 2.105 6.319 2.111
O 2.175 0.000 0.000
O 0.000 0.000 6.236
O 6.341 2.111 6.319
O 0.000 4.215 6.251
O 4.223 0.000 2.120
Mg 0.000 6.354 6.354
Mg 2.119 4.215 2.098
Mg 4.223 4.215 0.000
Mg 6.352 0.000 6.345
Mg 2.119 6.333 4.215
Mg 2.119 2.098 4.215
Mg 4.223 0.000 4.215
Mg 4.223 2.099 6.332
Mg 0.000 2.076 6.354
Mg 6.352 0.000 2.086
Mg 6.352 6.345 0.000
Mg 0.000 0.000 4.215
Mg 6.352 2.086 0.000
Mg 2.119 4.215 6.333
Mg 4.223 0.000 0.000
Mg 4.223 2.099 2.099
Mg 2.094 2.086 0.000
Mg 0.000 4.215 0.000
Mg 6.327 2.098 4.215
Mg 4.223 4.215 4.215
Mg 6.327 4.215 6.333
Mg 4.223 6.332 2.099
Mg 4.223 6.332 6.332
Mg 0.000 2.076 2.076
Mg 2.094 0.000 6.345
Mg 2.094 0.000 2.086
Mg 6.327 4.215 2.098
Mg 2.094 6.345 0.000
Mg 0.000 6.354 2.076
Mg 6.327 6.333 4.215
Co 0.000 0.000 0.000
Cr 0.000 4.215 4.215
```

Computed properties:
E_tot: -405.54 eV/f.u.
raw formation energy: -2.63 eV per atom
space-group type: No. 123


Record 2
A plane-wave DFT calculation with PBEsol was carried out for crystalline Hf2SiAsF at its relaxed geometry.

Cell and atoms, written as extended XYZ:
```
5
Lattice="-3.385 2.712 1.292 -1.831 -0.101 -4.586 -2.719 -3.954 1.173" Properties=species:S:1:pos:R:3 pbc="T T T"
Hf -0.916 -0.050 -2.293
Hf -1.360 -1.977 0.586
Si -1.693 1.356 0.646
F -3.968 -0.671 -1.061
As 0.000 0.000 0.000
```

Computed properties:
E_tot: -31.57 eV/f.u.
raw formation energy: 0.44 eV per atom
space-group type: No. 123


Record 3
A plane-wave DFT calculation with PBEsol was carried out for crystalline Cd2InAg at its relaxed geometry.

Cell and atoms, written as extended XYZ:
```
4
Lattice="-3.227 0.981 -1.066 1.331 -0.767 -4.733 -1.903 -4.178 1.919" Properties=species:S:1:pos:R:3 pbc="T T T"
Cd -0.952 -2.089 0.959
Cd 0.665 -0.384 -2.367
Ag -1.900 -1.982 -1.940
In -1.614 0.490 -0.533
```

Computed properties:
E_tot: -8.63 eV/f.u.
formation enthalpy at 0 K: 0.015 eV/atom
space-group type: No. 65


Record 4
A plane-wave DFT calculation with PBEsol was carried out for crystalline Sn3PdI at its relaxed geometry.

Cell and atoms, written as extended XYZ:
```
5
Lattice="-0.406 -5.639 -0.399 5.416 -0.273 -1.646 1.619 -0.499 5.408" Properties=species:S:1:pos:R:3 pbc="T T T"
Sn 2.708 -0.137 -0.823
Sn -0.203 -2.819 -0.199
Sn 0.809 -0.249 2.704
I 0.000 0.000 0.000
Pd 3.315 -3.206 1.682
```

Computed properties:
E_tot: -14.39 eV/f.u.
raw formation energy: 1.22 eV per atom
space-group type: No. 221


What is the E_tot in the second record?
-31.57 eV/f.u.


Please write out number 3 again, unchanged.
A plane-wave DFT calculation with PBEsol was carried out for crystalline Cd2InAg at its relaxed geometry.

Cell and atoms, written as extended XYZ:
```
4
Lattice="-3.227 0.981 -1.066 1.331 -0.767 -4.733 -1.903 -4.178 1.919" Properties=species:S:1:pos:R:3 pbc="T T T"
Cd -0.952 -2.089 0.959
Cd 0.665 -0.384 -2.367
Ag -1.900 -1.982 -1.940
In -1.614 0.490 -0.533
```

Computed properties:
E_tot: -8.63 eV/f.u.
formation enthalpy at 0 K: 0.015 eV/atom
space-group type: No. 65


The lowest E_tot belongs to which entry?
Mg30CrCoO32